# 1
# KYAu, relaxed, DFT PBEsol
# **SG**: F-43m
# **M_tot**: 0.00 μB per cell
# **DFT total energy**: -0.28607 Ry/atom
data_KYAu
_symmetry_space_group_name_H-M 'P 1'
_symmetry_Int_Tables_number 1
_symmetry_space_group_name_Hall 'P 1'
_cell_length_a 5.060
_cell_length_b 5.060
_cell_length_c 5.060
_cell_angle_alpha 60.00
_cell_angle_beta 60.00
_cell_angle_gamma 60.00
loop_
_atom_site_label
_atom_site_type_symbol
_atom_site_fract_x
_atom_site_fract_y
_atom_site_fract_z
_atom_site_occupancy
Y1 Y 0.500 0.500 0.500 1
K1 K 0.000 0.000 0.000 1
Au1 Au 0.250 0.250 0.250 1

***

# 2
# KZn3Au, relaxed, DFT PBEsol
# **SG**: Pm-3m
# **Polymorph energy (0 for the lowest one)**: 1.201 eV/atom
# **M_tot**: 0.00 μB per cell
# **DFT total energy**: -0.05593 Ry/atom
data_KZn3Au
_symmetry_space_group_name_H-M 'P 1'
_symmetry_Int_Tables_number 1
_symmetry_space_group_name_Hall 'P 1'
_cell_length_a 5.862
_cell_length_b 5.862
_cell_length_c 5.862
_cell_angle_alpha 90.00
_cell_angle_beta 90.00
_cell_angle_gamma 90.00
loop_
_atom_site_label
_atom_site_type_symbol
_atom_site_fract_x
_atom_site_fract_y
_atom_site_fract_z
_atom_site_occupancy
Au1 Au 0.500 0.500 0.500 1
Zn1 Zn 0.500 0.000 0.000 1
Zn2 Zn 0.000 0.500 0.000 1
Zn3 Zn 0.000 0.000 0.500 1
K1 K 0.000 0.000 0.000 1

***

# 3
# KZn3Au, relaxed, DFT PBEsol
# **SG**: Pm-3m
# **Polymorph energy (0 for the lowest one)**: 0.000 eV/atom
# **M_tot**: 0.00 μB per cell
# **DFT total energy**: -0.14421 Ry/atom
data_KZn3Au
_symmetry_space_group_name_H-M 'P 1'
_symmetry_Int_Tables_number 1
_symmetry_space_group_name_Hall 'P 1'
_cell_length_a 4.919
_cell_length_b 4.919
_cell_length_c 4.919
_cell_angle_alpha 90.00
_cell_angle_beta 90.00
_cell_angle_gamma 90.00
loop_
_atom_site_label
_atom_site_type_symbol
_atom_site_fract_x
_atom_site_fract_y
_atom_site_fract_z
_atom_site_occupancy
K1 K 0.500 0.500 0.500 1
Zn1 Zn 0.500 0.000 0.000 1
Zn2 Zn 0.000 0.000 0.500 1
Zn3 Zn 0.000 0.500 0.000 1
Au1 Au 0.000 0.000 0.000 1

***

# 4
# KZn2Au, relaxed, DFT PBEsol
# **SG**: C2/m
# **Polymorph energy (0 for the lowest one)**: 0.001 eV/atom
# **M_tot**: 0.00 μB per cell
# **DFT total energy**: -0.16412 Ry/atom
data_KZn2Au
_symmetry_space_group_name_H-M 'P 1'
_symmetry_Int_Tables_number 1
_symmetry_space_group_name_Hall 'P 1'
_cell_length_a 4.448
_cell_length_b 4.432
_cell_length_c 6.427
_cell_angle_alpha 110.24
_cell_angle_beta 90.00
_cell_angle_gamma 120.12
loop_
_atom_site_label
_atom_site_type_symbol
_atom_site_fract_x
_atom_site_fract_y
_atom_site_fract_z
_atom_site_occupancy
Zn1 Zn 0.317 0.634 0.452 1
Zn2 Zn 0.683 0.366 0.548 1
Au1 Au 0.000 0.000 0.500 1
K1 K 0.500 0.000 0.000 1

***

# 5
# KZn2Au2, relaxed, DFT PBEsol
# **SG**: P4/mbm
# **Polymorph energy (0 for the lowest one)**: 0.006 eV/atom
# **M_tot**: 0.00 μB per cell
# **DFT total energy**: -0.19080 Ry/atom
data_KZn2Au2
_symmetry_space_group_name_H-M 'P 1'
_symmetry_Int_Tables_number 1
_symmetry_space_group_name_Hall 'P 1'
_cell_length_a 2.744
_cell_length_b 8.204
_cell_length_c 8.204
_cell_angle_alpha 90.00
_cell_angle_beta 90.00
_cell_angle_gamma 90.00
loop_
_atom_site_label
_atom_site_type_symbol
_atom_site_fract_x
_atom_site_fract_y
_atom_site_fract_z
_atom_site_occupancy
Au1 Au 0.000 0.169 0.331 1
Au2 Au 0.000 0.331 0.831 1
Au3 Au 0.000 0.831 0.669 1
Au4 Au 0.000 0.669 0.169 1
Zn1 Zn 0.500 0.376 0.124 1
Zn2 Zn 0.500 0.124 0.624 1
Zn3 Zn 0.500 0.876 0.376 1
Zn4 Zn 0.500 0.624 0.876 1
K1 K 0.000 0.000 0.000 1
K2 K 0.000 0.500 0.500 1

***

# 6
# KZn2Au2, relaxed, DFT PBEsol
# **SG**: I4/mmm
# **Polymorph energy (0 for the lowest one)**: 0.000 eV/atom
# **M_tot**: 0.00 μB per cell
# **DFT total energy**: -0.19123 Ry/atom
data_KZn2Au2
_symmetry_space_group_name_H-M 'P 1'
_symmetry_Int_Tables_number 1
_symmetry_space_group_name_Hall 'P 1'
_cell_length_a 4.396
_cell_length_b 4.396
_cell_length_c 6.331
_cell_angle_alpha 110.31
_cell_angle_beta 110.31
_cell_angle_gamma 90.00
loop_
_atom_site_label
_atom_site_type_symbol
_atom_site_fract_x
_atom_site_fract_y
_atom_site_fract_z
_atom_site_occupancy
K1 K 0.000 0.000 0.000 1
Zn1 Zn 0.750 0.250 0.500 1
Zn2 Zn 0.250 0.750 0.500 1
Au1 Au 0.624 0.624 0.248 1
Au2 Au 0.376 0.376 0.752 1

***

# 7
# KZn2Au, relaxed, DFT PBEsol
# **SG**: Cm
# **Polymorph energy (0 for the lowest one)**: 0.000 eV/atom
# **M_tot**: 0.00 μB per cell
# **DFT total energy**: -0.16417 Ry/atom
data_KZn2Au
_symmetry_space_group_name_H-M 'P 1'
_symmetry_Int_Tables_number 1
_symmetry_space_group_name_Hall 'P 1'
_cell_length_a 4.458
_cell_length_b 4.448
_cell_length_c 6.515
_cell_angle_alpha 110.07
_cell_angle_beta 90.00
_cell_angle_gamma 120.08
loop_
_atom_site_label
_atom_site_type_symbol
_atom_site_fract_x
_atom_site_fract_y
_atom_site_fract_z
_atom_site_occupancy
Zn1 Zn 0.929 0.859 0.789 1
Zn2 Zn 0.244 0.488 0.731 1
Au1 Au 0.573 0.147 0.720 1
K1 K 0.754 0.507 0.260 1

***

# 8
# K2ZnAu, relaxed, DFT PBEsol
# **SG**: Imm2
# **Polymorph energy (0 for the lowest one)**: 0.037 eV/atom
# **M_tot**: 0.00 μB per cell
# **DFT total energy**: -0.14655 Ry/atom
data_K2ZnAu
_symmetry_space_group_name_H-M 'P 1'
_symmetry_Int_Tables_number 1
_symmetry_space_group_name_Hall 'P 1'
_cell_length_a 4.206
_cell_length_b 5.348
_cell_length_c 6.506
_cell_angle_alpha 114.27
_cell_angle_beta 108.86
_cell_angle_gamma 90.00
loop_
_atom_site_label
_atom_site_type_symbol
_atom_site_fract_x
_atom_site_fract_y
_atom_site_fract_z
_atom_site_occupancy
Au1 Au 0.191 0.191 0.382 1
Zn1 Zn 0.565 0.065 0.130 1
K1 K 0.771 0.771 0.542 1
K2 K 0.973 0.473 0.947 1

***

# 9
# K2ZnAu, relaxed, DFT PBEsol
# **SG**: C2/m
# **Polymorph energy (0 for the lowest one)**: 0.280 eV/atom
# **M_tot**: 0.00 μB per cell
# **DFT total energy**: -0.12869 Ry/atom
data_K2ZnAu
_symmetry_space_group_name_H-M 'P 1'
_symmetry_Int_Tables_number 1
_symmetry_space_group_name_Hall 'P 1'
_cell_length_a 3.469
_cell_length_b 4.667
_cell_length_c 8.875
_cell_angle_alpha 96.51
_cell_angle_beta 90.00
_cell_angle_gamma 111.82
loop_
_atom_site_label
_atom_site_type_symbol
_atom_site_fract_x
_atom_site_fract_y
_atom_site_fract_z
_atom_site_occupancy
K1 K 0.257 0.514 0.272 1
K2 K 0.743 0.486 0.728 1
Au1 Au 0.000 0.000 0.500 1
Zn1 Zn 0.500 0.000 0.000 1

***

# 10
# KZn2Au, relaxed, DFT PBEsol
# **SG**: C2/m
# **Polymorph energy (0 for the lowest one)**: 0.439 eV/atom
# **M_tot**: 0.00 μB per cell
# **DFT total energy**: -0.13192 Ry/atom
data_KZn2Au
_symmetry_space_group_name_H-M 'P 1'
_symmetry_Int_Tables_number 1
_symmetry_space_group_name_Hall 'P 1'
_cell_length_a 2.700
_cell_length_b 5.609
_cell_length_c 6.208
_cell_angle_alpha 116.33
_cell_angle_beta 101.56
_cell_angle_gamma 92.17
loop_
_atom_site_label
_atom_site_type_symbol
_atom_site_fract_x
_atom_site_fract_y
_atom_site_fract_z
_atom_site_occupancy
K1 K 0.500 0.000 0.000 1
Zn1 Zn 0.000 0.000 0.500 1
Zn2 Zn 0.500 0.500 0.500 1
Au1 Au 0.000 0.500 0.000 1

***

# 11
# KZn2Au, relaxed, DFT PBEsol
# **SG**: Immm
# **Polymorph energy (0 for the lowest one)**: 0.262 eV/atom
# **M_tot**: 0.00 μB per cell
# **DFT total energy**: -0.14490 Ry/atom
data_KZn2Au
_symmetry_space_group_name_H-M 'P 1'
_symmetry_Int_Tables_number 1
_symmetry_space_group_name_Hall 'P 1'
_cell_length_a 2.791
_cell_length_b 5.562
_cell_length_c 6.299
_cell_angle_alpha 116.20
_cell_angle_beta 102.80
_cell_angle_gamma 90.00
loop_
_atom_site_label
_atom_site_type_symbol
_atom_site_fract_x
_atom_site_fract_y
_atom_site_fract_z
_atom_site_occupancy
Zn1 Zn 0.294 0.294 0.588 1
Zn2 Zn 0.706 0.706 0.412 1
K1 K 0.500 0.000 0.000 1
Au1 Au 0.000 0.500 0.000 1

***

# 12
# K2ZnAu, relaxed, DFT PBEsol
# **SG**: Amm2
# **Polymorph energy (0 for the lowest one)**: 0.000 eV/atom
# **M_tot**: 0.00 μB per cell
# **DFT total energy**: -0.14926 Ry/atom
data_K2ZnAu
_symmetry_space_group_name_H-M 'P 1'
_symmetry_Int_Tables_number 1
_symmetry_space_group_name_Hall 'P 1'
_cell_length_a 4.597
_cell_length_b 4.859
_cell_length_c 6.354
_cell_angle_alpha 112.48
_cell_angle_beta 90.00
_cell_angle_gamma 90.00
loop_
_atom_site_label
_atom_site_type_symbol
_atom_site_fract_x
_atom_site_fract_y
_atom_site_fract_z
_atom_site_occupancy
K1 K 0.500 0.398 0.797 1
K2 K 0.000 0.101 0.202 1
Zn1 Zn 0.000 0.794 0.587 1
Au1 Au 0.500 0.702 0.403 1

***

| no. | energy of formation from the pure elements (eV/atom) |
| --- | --- |
| 1 | 0.068 |
| 2 | 1.200 |
| 3 | -0.001 |
| 4 | -0.178 |
| 5 | -0.167 |
| 6 | -0.173 |
| 7 | -0.178 |
| 8 | -0.051 |
| 9 | 0.192 |
| 10 | 0.260 |
| 11 | 0.084 |
| 12 | -0.088 |